The following is a PBE-GGA calculation of a relaxed structure of ThZr2Pt9, from Alexandria.

Output
electronic total energy	-91.33	eV for the cell shown
DOS at the Fermi energy	0.7	states/eV/cell
calculated formation energy	-1037.0	meV per atom

Structure (POSCAR):
```
ThZr2Pt9
1.0
-3.836 -1.467 0.298
1.434 -3.836 -0.425
1.283 -0.873 12.213
Th Zr Pt
1 2 9
Direct
0.000 0.000 0.000 Th
0.000 0.000 0.338 Zr
0.000 0.000 0.662 Zr
0.500 0.500 0.000 Pt
0.500 0.500 0.339 Pt
0.500 0.500 0.661 Pt
0.500 0.000 0.177 Pt
0.500 0.000 0.500 Pt
0.500 0.000 0.823 Pt
0.000 0.500 0.177 Pt
0.000 0.500 0.500 Pt
0.000 0.500 0.823 Pt
```